A plane-wave DFT calculation with GGA-PBE was carried out for HgSb after structural relaxation.

Lattice parameters (Å, degrees): 4.226 3.197 8.719 97.02 90.00 90.00
Sites, in units of the cell vectors:
1 Hg 0.750 0.200 0.115
2 Hg 0.250 0.800 0.885
3 Sb 0.250 0.473 0.381
4 Sb 0.750 0.527 0.619

E_tot ... -2.17 eV per atom
Energy relative to the lowest polymorph listed for this composition ... 0.017 eV/atom
SG ... P2_1/m, No. 11
Total magnetic moment ... 0.0 μB/f.u.

=====

A plane-wave DFT calculation with GGA-PBE was carried out for PmHoN2 after structural relaxation.

Lattice parameters (Å, degrees): 3.470 3.470 6.109 90.00 90.00 120.00
Sites, in units of the cell vectors:
1 N 0.667 0.833 0.760
2 Pm 0.000 0.500 0.500
3 N 0.333 0.167 0.240
4 Ho 0.000 0.500 0.000

E_tot ... -7.72 eV per atom
Energy relative to the lowest polymorph listed for this composition ... 0.350 eV/atom
SG ... P-3m1, No. 164
Total magnetic moment ... 0.0 μB/f.u.

=====

A plane-wave DFT calculation with GGA-PBE was carried out for Rb3Ag2Br3Cl2 after structural relaxation.

Lattice parameters (Å, degrees): 5.078 5.078 14.402 100.15 100.15 90.00
Sites, in units of the cell vectors:
1 Rb 0.635 0.635 0.270
2 Br 0.500 0.500 0.000
3 Br 0.120 0.120 0.240
4 Cl 0.750 0.250 0.500
5 Ag 0.784 0.784 0.568
6 Cl 0.250 0.750 0.500
7 Ag 0.216 0.216 0.432
8 Rb 0.000 0.000 0.000
9 Rb 0.365 0.365 0.730
10 Br 0.880 0.880 0.760

E_tot ... -2.96 eV per atom
SG ... I4/mmm, No. 139
Total magnetic moment ... 0.0 μB/f.u.

=====

A plane-wave DFT calculation with GGA-PBE was carried out for SrScPb2 after structural relaxation.

Lattice parameters (Å, degrees): 8.083 5.811 3.551 89.87 64.15 124.22
Last column: magnetic moment on the atom in μB.
Sites, in units of the cell vectors:
1 Sc 0.000 0.500 0.500  0.29
2 Pb 0.000 0.000 0.000  -0.01
3 Sr 0.500 0.500 0.000  0.01
4 Pb 0.500 0.000 0.500  -0.01

E_tot ... -4.17 eV per atom
Energy of formation from the pure elements ... -0.31 eV/atom
SG ... C2/m, No. 12
Total magnetic moment ... 0.4 μB/f.u.

=====

A plane-wave DFT calculation with GGA-PBE was carried out for Gd2HfBr after structural relaxation.

Lattice parameters (Å, degrees): 3.406 3.406 11.132 81.20 81.20 60.00
Last column: magnetic moment on the atom in μB.
Sites, in units of the cell vectors:
1 Gd 0.906 0.906 0.282  7.33
2 Br 0.500 0.500 0.500  0.00
3 Gd 0.094 0.094 0.718  7.33
4 Hf 0.000 0.000 0.000  0.48

E_tot ... -10.04 eV per atom
SG ... R-3m, No. 166
Total magnetic moment ... 15.9 μB/f.u.

=====

A plane-wave DFT calculation with GGA-PBE was carried out for LiNd2Cu4Ge3 after structural relaxation.

Lattice parameters (Å, degrees): 4.243 4.243 9.811 90.00 90.00 90.00
Sites, in units of the cell vectors:
1 Nd 0.500 0.000 0.242
2 Li 0.500 0.500 0.500
3 Ge 0.000 0.000 0.500
4 Cu 0.000 0.500 0.378
5 Nd 0.000 0.500 0.758
6 Ge 0.500 0.000 0.865
7 Cu 0.000 0.000 0.000
8 Ge 0.000 0.500 0.135
9 Cu 0.500 0.000 0.622
10 Cu 0.500 0.500 0.000

E_tot ... -4.65 eV per atom
Energy of formation from the pure elements ... -0.48 eV/atom
SG ... P-4m2, No. 115
Total magnetic moment ... 0.0 μB/f.u.

=====

A plane-wave DFT calculation with GGA-PBE was carried out for CeGdSnRu after structural relaxation.

Lattice parameters (Å, degrees): 5.153 5.153 5.153 60.00 60.00 60.00
Last column: magnetic moment on the atom in μB.
Sites, in units of the cell vectors:
1 Ru 0.750 0.750 0.750  -0.23
2 Gd 0.500 0.500 0.500  7.02
3 Sn 0.250 0.250 0.250  -0.02
4 Ce 0.000 0.000 0.000  0.33

E_tot ... -8.63 eV per atom
Energy of formation from the pure elements ... -0.30 eV/atom
SG ... F-43m, No. 216
Total magnetic moment ... 7.3 μB/f.u.

=====

A plane-wave DFT calculation with GGA-PBE was carried out for PrYSc2Se4 after structural relaxation.

Lattice parameters (Å, degrees): 3.973 7.078 6.947 71.21 90.00 90.00
Sites, in units of the cell vectors:
1 Se 0.000 0.223 0.266
2 Se 0.500 0.228 0.750
3 Sc 0.500 0.000 0.500
4 Sc 0.000 0.000 0.000
5 Pr 0.500 0.500 0.000
6 Se 0.500 0.772 0.250
7 Se 0.000 0.777 0.734
8 Y 0.000 0.500 0.500

E_tot ... -6.41 eV per atom
SG ... P2/m, No. 10
Total magnetic moment ... 0.0 μB/f.u.